Model P:
A plane-wave DFT calculation with PBE-GGA was carried out for a relaxed KNaGaAu2 crystal.

```
data_KNaGaAu2
_chemical_formula_sum 'K1 Na1 Ga1 Au2'
_cell_length_a 6.463
_cell_length_b 6.463
_cell_length_c 6.463
_cell_angle_alpha 136.26
_cell_angle_beta 136.26
_cell_angle_gamma 63.58
_symmetry_space_group_name_H-M 'P 1'
_symmetry_Int_Tables_number 1
loop_
_symmetry_equiv_pos_as_xyz
'x,y,z'
loop_
_atom_site_label
_atom_site_type_symbol
_atom_site_fract_x
_atom_site_fract_y
_atom_site_fract_z
K1 K 0.000 0.000 0.000
Na1 Na 0.750 0.250 0.500
Ga1 Ga 0.250 0.750 0.500
Au1 Au 0.374 0.374 0.000
Au2 Au 0.626 0.626 0.000
```

***

Model Q:
A plane-wave DFT calculation with PBE-GGA was carried out for a relaxed KNaGaAu2 crystal.

```
data_KNaGaAu2
_chemical_formula_sum 'K1 Na1 Ga1 Au2'
_cell_length_a 5.037
_cell_length_b 5.037
_cell_length_c 5.458
_cell_angle_alpha 90.00
_cell_angle_beta 90.00
_cell_angle_gamma 90.00
_symmetry_space_group_name_H-M 'P 1'
_symmetry_Int_Tables_number 1
loop_
_symmetry_equiv_pos_as_xyz
'x,y,z'
loop_
_atom_site_label
_atom_site_type_symbol
_atom_site_fract_x
_atom_site_fract_y
_atom_site_fract_z
K1 K 0.000 0.000 0.000
Na1 Na 0.500 0.500 0.000
Ga1 Ga 0.500 0.500 0.500
Au1 Au 0.000 0.500 0.500
Au2 Au 0.500 0.000 0.500
```

***

Q: Which of them is the least stable? A: model Q.

***

Model P:
A plane-wave DFT calculation with PBE-GGA was carried out for a relaxed K2RbGaAu crystal.

```
data_K2RbGaAu
_chemical_formula_sum 'K2 Rb1 Ga1 Au1'
_cell_length_a 6.653
_cell_length_b 6.653
_cell_length_c 4.979
_cell_angle_alpha 90.00
_cell_angle_beta 90.00
_cell_angle_gamma 90.00
_symmetry_space_group_name_H-M 'P 1'
_symmetry_Int_Tables_number 1
loop_
_symmetry_equiv_pos_as_xyz
'x,y,z'
loop_
_atom_site_label
_atom_site_type_symbol
_atom_site_fract_x
_atom_site_fract_y
_atom_site_fract_z
K1 K 0.000 0.500 0.000
K2 K 0.500 0.000 0.000
Rb1 Rb 0.000 0.000 0.500
Ga1 Ga 0.500 0.500 0.500
Au1 Au 0.500 0.500 0.000
```

***

Model Q:
A plane-wave DFT calculation with PBE-GGA was carried out for a relaxed K2RbGaAu crystal.

```
data_K2RbGaAu
_chemical_formula_sum 'K2 Rb1 Ga1 Au1'
_cell_length_a 6.741
_cell_length_b 6.741
_cell_length_c 4.928
_cell_angle_alpha 90.00
_cell_angle_beta 90.00
_cell_angle_gamma 90.00
_symmetry_space_group_name_H-M 'P 1'
_symmetry_Int_Tables_number 1
loop_
_symmetry_equiv_pos_as_xyz
'x,y,z'
loop_
_atom_site_label
_atom_site_type_symbol
_atom_site_fract_x
_atom_site_fract_y
_atom_site_fract_z
K1 K 0.000 0.500 0.000
K2 K 0.500 0.000 0.000
Rb1 Rb 0.000 0.000 0.500
Ga1 Ga 0.500 0.500 0.000
Au1 Au 0.500 0.500 0.500
```

***

Q: Which of them is the least stable? A: model Q.

***

Model P:
A plane-wave DFT calculation with PBE-GGA was carried out for a relaxed La2GaAu3 crystal.

```
data_La2GaAu3
_chemical_formula_sum 'La2 Ga1 Au3'
_cell_length_a 9.087
_cell_length_b 9.087
_cell_length_c 9.087
_cell_angle_alpha 153.83
_cell_angle_beta 152.65
_cell_angle_gamma 38.21
_symmetry_space_group_name_H-M 'P 1'
_symmetry_Int_Tables_number 1
loop_
_symmetry_equiv_pos_as_xyz
'x,y,z'
loop_
_atom_site_label
_atom_site_type_symbol
_atom_site_fract_x
_atom_site_fract_y
_atom_site_fract_z
La1 La 0.000 0.000 0.000
La2 La 0.750 0.250 0.500
Ga1 Ga 0.587 0.587 0.000
Au1 Au 0.164 0.664 0.500
Au2 Au 0.326 0.826 0.500
Au3 Au 0.434 0.434 0.000
```

***

Model Q:
A plane-wave DFT calculation with PBE-GGA was carried out for a relaxed La2GaAu3 crystal.

```
data_La2GaAu3
_chemical_formula_sum 'La2 Ga1 Au3'
_cell_length_a 3.742
_cell_length_b 4.686
_cell_length_c 8.274
_cell_angle_alpha 90.00
_cell_angle_beta 90.00
_cell_angle_gamma 90.00
_symmetry_space_group_name_H-M 'P 1'
_symmetry_Int_Tables_number 1
loop_
_symmetry_equiv_pos_as_xyz
'x,y,z'
loop_
_atom_site_label
_atom_site_type_symbol
_atom_site_fract_x
_atom_site_fract_y
_atom_site_fract_z
La1 La 0.000 0.000 0.000
La2 La 0.000 0.500 0.487
Ga1 Ga 0.500 0.500 0.820
Au1 Au 0.500 0.000 0.334
Au2 Au 0.500 0.000 0.676
Au3 Au 0.500 0.500 0.141
```

***

Q: Which of them is the least stable? A: model P.